(1)
YZrSb2 | PBE | optimized geometry

Properties
Spin magnetization ... 0.09 μB per atom
Energy ... -5.937 eV per atom
SG ... No. 216

Cell: 5.2298 5.2298 5.2298 Å, 60.00 60.00 60.00°
Last column: nearest neighbours and their distance in Å.
Fractional coordinates of all 4 atoms:
Y 0.5000 0.5000 0.5000  4 Zr 3.20, 4 Sb 3.20
Sb 0.2500 0.2500 0.2500  4 Sb 3.20, 4 Y 3.20
Sb 0.0000 0.0000 0.0000  4 Zr 3.20, 4 Sb 3.20
Zr 0.7500 0.7500 0.7500  4 Sb 3.20, 4 Y 3.20

=====

(2)
YZrSb2 | PBE | optimized geometry

Properties
Spin magnetization ... 0.20 μB per atom
Energy ... -6.533 eV per atom
SG ... No. 44

Cell: 7.5995 7.5995 7.5995 Å, 150.55 149.17 43.16°
Last column: nearest neighbours and their distance in Å.
Fractional coordinates of all 4 atoms:
Zr 0.7921 0.2921 0.5000  6 Sb 2.93-3.00
Y 0.5456 0.5456 0.0000  6 Sb 3.12
Sb 0.2142 0.7142 0.5000  4 Zr 3.00, 2 Y 3.12
Sb 0.9480 0.9480 0.0000  2 Zr 2.93, 4 Y 3.12

=====

(3)
Y2ZrSb | PBE | optimized geometry

Properties
Spin magnetization ... 0.25 μB per atom
Energy ... -6.806 eV per atom
SG ... No. 99

Cell: 3.8256 3.8256 7.4044 Å, 90.00 90.00 90.00°
Last column: nearest neighbours and their distance in Å.
Fractional coordinates of all 4 atoms:
Zr 0.0000 0.0000 0.5355  4 Sb 3.04, 5 Y 3.19-3.32
Y 0.5000 0.5000 0.2752  1 Sb 3.31, 4 Zr 3.32, 4 Y 3.54
Y 0.0000 0.0000 0.9668  1 Zr 3.19, 4 Sb 3.25, 4 Y 3.54
Sb 0.5000 0.5000 0.7224  4 Zr 3.04, 5 Y 3.25-3.31

=====

(4)
YZrSb2 | PBE | optimized geometry

Properties
Spin magnetization ... 0.00 μB per atom
Energy ... -6.043 eV per atom
SG ... No. 35

Cell: 3.2131 3.2131 11.2079 Å, 90.00 90.00 90.22°
Last column: nearest neighbours and their distance in Å.
Fractional coordinates of all 4 atoms:
Sb 0.0000 0.0000 0.9455  4 Zr 3.19, 4 Sb 3.21
Sb 0.5000 0.5000 0.2965  4 Sb 3.21, 4 Y 3.32
Zr 0.5000 0.5000 0.7455  4 Sb 3.19, 4 Zr 3.21, 4 Y 3.46-3.47
Y 0.0000 0.0000 0.5124  4 Y 3.21, 4 Sb 3.32, 4 Zr 3.46-3.47

=====

(5)
YZrSb2 | PBE | optimized geometry

Properties
Spin magnetization ... 0.00 μB per atom
Energy ... -6.470 eV per atom
SG ... No. 71

Cell: 5.3975 5.3975 5.3975 Å, 131.15 117.05 83.52°
Last column: nearest neighbours and their distance in Å.
Fractional coordinates of all 4 atoms:
Zr 0.7500 0.2500 0.5000  4 Sb 2.98
Y 0.2500 0.7500 0.5000  4 Sb 3.04
Sb 0.5054 0.5054 0.0000  2 Zr 2.98, 2 Y 3.04
Sb 0.9946 0.9946 0.0000  2 Zr 2.98, 2 Y 3.04

=====

(6)
YZr2Sb | PBE | optimized geometry

Properties
Spin magnetization ... 0.00 μB per atom
Energy ... -7.237 eV per atom
SG ... No. 119

Cell: 5.7883 5.7883 5.7883 Å, 134.69 134.69 66.02°
Last column: nearest neighbours and their distance in Å.
Fractional coordinates of all 4 atoms:
Zr 0.2500 0.7500 0.5000  4 Y 3.15, 4 Zr 3.30, 4 Sb 3.30
Zr 0.0000 0.0000 0.0000  4 Sb 3.15, 4 Zr 3.30, 4 Y 3.30
Y 0.7500 0.2500 0.5000  8 Zr 3.15-3.30, 4 Sb 3.30
Sb 0.5000 0.5000 0.0000  8 Zr 3.15-3.30, 4 Y 3.30

=====

Please write out number 2 again, unchanged.
YZrSb2 | PBE | optimized geometry

Properties
Spin magnetization ... 0.20 μB per atom
Energy ... -6.533 eV per atom
SG ... No. 44

Cell: 7.5995 7.5995 7.5995 Å, 150.55 149.17 43.16°
Last column: nearest neighbours and their distance in Å.
Fractional coordinates of all 4 atoms:
Zr 0.7921 0.2921 0.5000  6 Sb 2.93-3.00
Y 0.5456 0.5456 0.0000  6 Sb 3.12
Sb 0.2142 0.7142 0.5000  4 Zr 3.00, 2 Y 3.12
Sb 0.9480 0.9480 0.0000  2 Zr 2.93, 4 Y 3.12

=====

What did the fifth record say?
YZrSb2 | PBE | optimized geometry

Properties
Spin magnetization ... 0.00 μB per atom
Energy ... -6.470 eV per atom
SG ... No. 71

Cell: 5.3975 5.3975 5.3975 Å, 131.15 117.05 83.52°
Last column: nearest neighbours and their distance in Å.
Fractional coordinates of all 4 atoms:
Zr 0.7500 0.2500 0.5000  4 Sb 2.98
Y 0.2500 0.7500 0.5000  4 Sb 3.04
Sb 0.5054 0.5054 0.0000  2 Zr 2.98, 2 Y 3.04
Sb 0.9946 0.9946 0.0000  2 Zr 2.98, 2 Y 3.04

=====

Which value of spin magnetization does entry 1 give? 0.09 μB per atom

=====

What did the third record say?
Y2ZrSb | PBE | optimized geometry

Properties
Spin magnetization ... 0.25 μB per atom
Energy ... -6.806 eV per atom
SG ... No. 99

Cell: 3.8256 3.8256 7.4044 Å, 90.00 90.00 90.00°
Last column: nearest neighbours and their distance in Å.
Fractional coordinates of all 4 atoms:
Zr 0.0000 0.0000 0.5355  4 Sb 3.04, 5 Y 3.19-3.32
Y 0.5000 0.5000 0.2752  1 Sb 3.31, 4 Zr 3.32, 4 Y 3.54
Y 0.0000 0.0000 0.9668  1 Zr 3.19, 4 Sb 3.25, 4 Y 3.54
Sb 0.5000 0.5000 0.7224  4 Zr 3.04, 5 Y 3.25-3.31